Sr2PPt2 PBE relaxed; energy above the lowest structure with this stoichiometry = 0 meV per atom; mass density = 8.657 g cm⁻³; total DFT energy (no corrections) = -5.036 eV per atom; formation energy = -0.865 eV/atom; D(E_F) = 4.63 states/eV per cell
1.0
-3.3031 1.2606 -4.4503
0.1638 -3.4036 -4.5489
-6.4975 -4.8611 1.4982
Sr P Pt
4 2 4
Direct
0.5356 0.7719 0.8408
0.7719 0.5356 0.3408
0.4644 0.2281 0.1592
0.2281 0.4644 0.6592
0.1080 0.8920 0.2500
0.8920 0.1080 0.7500
0.0039 0.2424 0.0078
0.2424 0.0039 0.5078
0.9961 0.7576 0.9922
0.7576 0.9961 0.4922

PmSm4Ho2Mg PBE relaxed; mass density = 7.151 g cm⁻³; total DFT energy (no corrections) = -4.226 eV per atom; formation energy = 0.071 eV/atom; D(E_F) = 12.62 states/eV per cell
1.0
5.8087 0.0000 0.0000
0.0001 9.5363 -0.4506
0.0001 3.7420 4.4368
Sm Ho Pm Mg
4 2 1 1
Direct
0.5000 0.2568 0.7430
0.0000 0.7435 0.7560
0.5000 0.7432 0.2570
0.0000 0.2565 0.2440
0.0000 0.0000 0.0000
0.5000 0.0000 0.5000
0.5000 0.5000 0.0000
0.0000 0.5000 0.5000

ScTiPd4 PBE relaxed; energy above the lowest structure with this stoichiometry = 0 meV per atom; mass density = 8.905 g cm⁻³; total DFT energy (no corrections) = -6.557 eV per atom; formation energy = -0.724 eV/atom; D(E_F) = 11.40 states/eV per cell
1.0
-2.8244 -2.9623 0.0768
5.1481 -4.9797 -2.7469
3.3411 -2.8876 11.4964
Pd Ti Sc
16 4 4
Direct
0.2500 0.0000 0.7500
0.2500 0.5000 0.7500
0.7500 0.2500 0.0897
0.2500 0.0147 0.4079
0.2500 0.9853 0.0921
0.7500 0.0000 0.2500
0.7500 0.5000 0.2500
0.7500 0.0147 0.9079
0.2500 0.2500 0.5897
0.7500 0.9853 0.5921
0.2500 0.4853 0.4079
0.7500 0.7500 0.4103
0.2500 0.7500 0.9103
0.7500 0.5147 0.5921
0.2500 0.5147 0.0921
0.7500 0.4853 0.9079
0.2500 0.7500 0.2697
0.2500 0.2500 0.2303
0.7500 0.7500 0.7697
0.7500 0.2500 0.7303
0.7500 0.7500 0.0671
0.2500 0.2500 0.9329
0.2500 0.7500 0.5671
0.7500 0.2500 0.4329

Sr2Ca6IrPt PBE relaxed; mass density = 3.617 g cm⁻³; total DFT energy (no corrections) = -3.355 eV per atom; formation energy = -0.327 eV/atom; D(E_F) = 7.25 states/eV per cell
1.0
-7.1781 3.5950 0.5739
-2.8299 -6.3083 4.1200
-3.3847 1.0989 7.2190
Pt Ir Ca Sr
1 1 6 2
Direct
0.0000 0.0000 0.0000
0.5000 0.5000 0.0000
0.7471 0.7471 0.5059
0.2529 0.2529 0.0000
0.7471 0.7471 0.0000
0.2529 0.7471 0.0000
0.7471 0.2529 0.0000
0.2529 0.2529 0.4941
0.2500 0.7500 0.5000
0.7500 0.2500 0.5000

TeRu2Pt PBE relaxed; raw formation energy = 0.344 eV per atom; mass density = 12.821 g cm⁻³; total DFT energy (no corrections) = -6.589 eV per atom; D(E_F) = 4.40 states/eV per cell
1.0
-1.4457 2.5227 0.0167
-0.0503 -0.0095 -2.9071
-6.9746 -3.9979 0.1336
Ru Pt Te
2 1 1
Direct
0.0000 0.0000 0.0164
0.5000 0.5000 0.2213
0.5000 0.5000 0.7809
0.0000 0.0000 0.4814

BaMg2Sb PBE relaxed; raw formation energy = -0.395 eV per atom; mass density = 3.707 g cm⁻³; total DFT energy (no corrections) = -2.703 eV per atom; D(E_F) = 2.43 states/eV per cell
1.0
-1.7662 3.9506 -1.3290
-1.0595 0.9598 4.2608
4.9732 3.9323 5.0799
Mg Sb Ba
2 1 1
Direct
0.0000 0.0742 0.1748
0.5000 0.5732 0.1760
0.0000 0.2857 0.4649
0.5000 0.5668 0.6843